Entry 1:
An optimized crystal structure of LiPmAlAu2. Source: Alexandria via LeMat-Bulk, functional PBE-GGA.

The structure in CIF format:
```
data_LiPmAlAu2
_cell_length_a 6.8444
_cell_length_b 6.8444
_cell_length_c 6.8444
_cell_angle_alpha 145.62
_cell_angle_beta 145.62
_cell_angle_gamma 49.41
_symmetry_space_group_name_H-M 'P 1'
_symmetry_Int_Tables_number 1
loop_
_symmetry_equiv_pos_as_xyz
'x,y,z'
loop_
_atom_site_label
_atom_site_type_symbol
_atom_site_fract_x
_atom_site_fract_y
_atom_site_fract_z
Li1 Li 0.0000 0.0000 0.0000
Pm1 Pm 0.7500 0.2500 0.5000
Al1 Al 0.5000 0.5000 0.0000
Au1 Au 0.1347 0.6347 0.5000
Au2 Au 0.3653 0.8653 0.5000
```

## Properties
Fermi-level density of states (states/eV/f.u.): 3.44
Formation energy from the elements (eV per atom): -0.66
Space-group type: I-4m2, No. 119


Entry 2:
An optimized crystal structure of Li2PrAl2Au2. Source: Alexandria via LeMat-Bulk, functional PBE-GGA.

The structure in CIF format:
```
data_Li2PrAl2Au2
_cell_length_a 4.4891
_cell_length_b 4.4891
_cell_length_c 8.1723
_cell_angle_alpha 105.69
_cell_angle_beta 105.69
_cell_angle_gamma 59.81
_symmetry_space_group_name_H-M 'P 1'
_symmetry_Int_Tables_number 1
loop_
_symmetry_equiv_pos_as_xyz
'x,y,z'
loop_
_atom_site_label
_atom_site_type_symbol
_atom_site_fract_x
_atom_site_fract_y
_atom_site_fract_z
Li1 Li 0.1415 0.1415 0.4269
Li2 Li 0.8585 0.8585 0.5731
Pr1 Pr 0.0000 0.0000 0.0000
Al1 Al 0.4345 0.4345 0.3049
Al2 Al 0.5655 0.5655 0.6951
Au1 Au 0.2536 0.2536 0.7581
Au2 Au 0.7464 0.7464 0.2419
```

## Properties
Fermi-level density of states (states/eV/f.u.): 3.70
Formation energy from the elements (eV per atom): -0.58
Space-group type: C2/m, No. 12


Entry 3:
An optimized crystal structure of LiPrAl2Au2. Source: Alexandria via LeMat-Bulk, functional PBE-GGA.

The structure in CIF format:
```
data_LiPrAl2Au2
_cell_length_a 4.4618
_cell_length_b 4.4618
_cell_length_c 6.9817
_cell_angle_alpha 90.00
_cell_angle_beta 90.00
_cell_angle_gamma 120.00
_symmetry_space_group_name_H-M 'P 1'
_symmetry_Int_Tables_number 1
loop_
_symmetry_equiv_pos_as_xyz
'x,y,z'
loop_
_atom_site_label
_atom_site_type_symbol
_atom_site_fract_x
_atom_site_fract_y
_atom_site_fract_z
Li1 Li 0.0000 0.0000 0.0000
Pr1 Pr 0.0000 0.0000 0.5000
Al1 Al 0.3333 0.6667 0.1728
Al2 Al 0.6667 0.3333 0.8272
Au1 Au 0.3333 0.6667 0.7858
Au2 Au 0.6667 0.3333 0.2142
```

## Properties
Fermi-level density of states (states/eV/f.u.): 4.45
Formation energy from the elements (eV per atom): -0.65
Space-group type: P-3m1, No. 164


Entry 4:
An optimized crystal structure of LiPrAlAu. Source: Alexandria via LeMat-Bulk, functional PBE-GGA.

The structure in CIF format:
```
data_LiPrAlAu
_cell_length_a 4.8803
_cell_length_b 4.8803
_cell_length_c 4.8803
_cell_angle_alpha 60.00
_cell_angle_beta 60.00
_cell_angle_gamma 60.00
_symmetry_space_group_name_H-M 'P 1'
_symmetry_Int_Tables_number 1
loop_
_symmetry_equiv_pos_as_xyz
'x,y,z'
loop_
_atom_site_label
_atom_site_type_symbol
_atom_site_fract_x
_atom_site_fract_y
_atom_site_fract_z
Li1 Li 0.0000 0.0000 0.0000
Pr1 Pr 0.7500 0.7500 0.7500
Al1 Al 0.2500 0.2500 0.2500
Au1 Au 0.5000 0.5000 0.5000
```

## Properties
Fermi-level density of states (states/eV/f.u.): 0.33
Formation energy from the elements (eV per atom): -0.53
Space-group type: F-43m, No. 216


Entry 5:
An optimized crystal structure of LiAl2PtAu. Source: Alexandria via LeMat-Bulk, functional PBE-GGA.

The structure in CIF format:
```
data_LiAl2PtAu
_cell_length_a 4.7143
_cell_length_b 4.7143
_cell_length_c 5.2612
_cell_angle_alpha 90.00
_cell_angle_beta 90.00
_cell_angle_gamma 90.00
_symmetry_space_group_name_H-M 'P 1'
_symmetry_Int_Tables_number 1
loop_
_symmetry_equiv_pos_as_xyz
'x,y,z'
loop_
_atom_site_label
_atom_site_type_symbol
_atom_site_fract_x
_atom_site_fract_y
_atom_site_fract_z
Li1 Li 0.0000 0.0000 0.0000
Al1 Al 0.0000 0.5000 0.5000
Al2 Al 0.5000 0.0000 0.5000
Pt1 Pt 0.5000 0.5000 0.0000
Au1 Au 0.5000 0.5000 0.5000
```

## Properties
Fermi-level density of states (states/eV/f.u.): 1.88
Formation energy from the elements (eV per atom): 0.26
Space-group type: P4/mmm, No. 123


Entry 6:
An optimized crystal structure of LiPuAlAu. Source: Alexandria via LeMat-Bulk, functional PBE-GGA.

The structure in CIF format:
```
data_LiPuAlAu
_cell_length_a 4.8017
_cell_length_b 4.8017
_cell_length_c 4.8017
_cell_angle_alpha 60.00
_cell_angle_beta 60.00
_cell_angle_gamma 60.00
_symmetry_space_group_name_H-M 'P 1'
_symmetry_Int_Tables_number 1
loop_
_symmetry_equiv_pos_as_xyz
'x,y,z'
loop_
_atom_site_label
_atom_site_type_symbol
_atom_site_fract_x
_atom_site_fract_y
_atom_site_fract_z
Li1 Li 0.0000 0.0000 0.0000
Pu1 Pu 0.2500 0.2500 0.2500
Al1 Al 0.7500 0.7500 0.7500
Au1 Au 0.5000 0.5000 0.5000
```

## Properties
Fermi-level density of states (states/eV/f.u.): 8.62
Formation energy from the elements (eV per atom): -0.25
Space-group type: F-43m, No. 216


| no. | size of the total moment (μB/f.u.) | energy (eV/atom) |
| --- | --- | --- |
| 1 | 0.000 | -4.048 |
| 2 | 0.000 | -3.812 |
| 3 | 0.000 | -4.110 |
| 4 | 0.000 | -3.958 |
| 5 | 0.000 | -3.486 |
| 6 | 5.071 | -6.068 |